# LiPbAu2

A crystal of LiPbAu2 relaxed with PBEsol (meta-GGA SCAN, Alexandria via LeMat-Bulk).

The structure in POSCAR format:
```
LiPbAu2
1.0
4.214 0.000 0.000
0.000 4.214 0.000
0.000 0.000 4.202
Li Pb Au
1 1 2
Cartesian
0.000 0.000 0.000
2.107 2.107 0.000
0.000 2.107 2.101
2.107 0.000 2.101
```

Summary:
* VASP energy: -54.398 eV/atom
* magnetization: 0.000 μB per atom

***

# BaHgPb2

A crystal of BaHgPb2 relaxed with PBEsol (meta-GGA SCAN, Alexandria via LeMat-Bulk).

The structure in POSCAR format:
```
BaHgPb2
1.0
0.000 3.974 3.974
3.974 0.000 3.974
3.974 3.974 0.000
Ba Hg Pb
1 1 2
Cartesian
0.000 0.000 0.000
5.960 5.960 5.960
1.987 1.987 1.987
3.974 3.974 3.974
```

Summary:
* VASP energy: -65.314 eV/atom
* distance to the lowest polymorph of the same formula: 0.025 eV per atom
* magnetization: 0.000 μB per atom

***

| no. | energy of formation (eV per atom) |
| --- | --- |
| 1 | -0.277 |
| 2 | -0.495 |